## GaSbTe2Os (PBE)

Data for crystalline GaSbTe2Os at its relaxed geometry.

Values from the calculation:
D(E_F)	6.601	states/eV per cell
calculated total energy	-3.401	eV per atom
uncorrected formation energy	1532	meV/atom

abc: 5.1558 5.1558 5.0509
angles: 90.00 90.00 90.00
With the nearest neighbours (Å) after each atom.
Space group P4/mmm (No. 123)
Symmetry-distinct sites (fractional):
Ga 0.0000 0.0000 0.0000  2 Sb 2.53, 4 Te 2.58
Sb 0.0000 0.0000 0.5000  2 Ga 2.53
Te 0.0000 0.5000 0.0000  2 Ga 2.58
Os 0.5000 0.5000 0.5000  8 Te 3.61, 4 Sb 3.65